The following is a DFT calculation (meta-GGA SCAN) of a PBEsol-optimized structure of KLiCa2.

Lattice parameters (Å, degrees): 4.185 6.250 6.400 90.00 90.00 90.00
Element x y z (fractional)
Ca 0.500 0.500 0.000
Li 0.000 0.500 0.500
Ca 0.000 0.000 0.000
K 0.500 0.000 0.500

Properties
* energy of formation: 0.186 eV per atom
* crystal system: orthorhombic
* energy: -0.26919 Ha/atom
* symmetry: Pmmm
* total moment: 0.0 μB/f.u.

***

The following is a DFT calculation (meta-GGA SCAN) of a PBEsol-optimized structure of KLi4Ca.

Lattice parameters (Å, degrees): 6.357 6.357 6.357 60.00 60.00 60.00
Element x y z (fractional)
Li 0.377 0.377 0.870
Ca 0.750 0.750 0.750
Li 0.377 0.377 0.377
K 0.000 0.000 0.000
Li 0.870 0.377 0.377
Li 0.377 0.870 0.377

Properties
* energy of formation: 0.081 eV per atom
* crystal system: cubic
* energy: -0.16576 Ha/atom
* symmetry: F-43m
* total moment: 0.3 μB/f.u.

***

The following is a DFT calculation (meta-GGA SCAN) of a PBEsol-optimized structure of KLiCa2Nb.

Lattice parameters (Å, degrees): 4.222 5.851 5.851 90.00 90.00 90.00
Each line ends with the local moment (μB).
Element x y z (fractional)
Ca 0.000 0.000 0.500  0.05
K 0.000 0.000 0.000  -0.04
Ca 0.000 0.500 0.000  0.05
Li 0.500 0.000 0.000  -0.04
Nb 0.500 0.500 0.500  2.44

Properties
* energy of formation: 1.261 eV per atom
* crystal system: tetragonal
* energy: -0.41798 Ha/atom
* symmetry: P4/mmm
* total moment: 3.7 μB/f.u.

***

The following is a DFT calculation (meta-GGA SCAN) of a PBEsol-optimized structure of KSrLi2Ca.

Lattice parameters (Å, degrees): 5.732 5.732 6.502 90.00 90.00 90.00
Element x y z (fractional)
K 0.000 0.000 0.000
Li 0.500 0.000 0.000
Ca 0.000 0.000 0.500
Sr 0.500 0.500 0.500
Li 0.000 0.500 0.000

Properties
* energy of formation: 0.499 eV per atom
* crystal system: tetragonal
* energy: -0.31276 Ha/atom
* symmetry: P4/mmm
* total moment: 0.6 μB/f.u.

***

The following is a DFT calculation (meta-GGA SCAN) of a PBEsol-optimized structure of KCaMg3.

Lattice parameters (Å, degrees): 6.143 6.143 6.143 90.00 90.00 90.00
Element x y z (fractional)
Mg 0.000 0.500 0.000
Ca 0.000 0.000 0.000
Mg 0.000 0.000 0.500
K 0.500 0.500 0.500
Mg 0.500 0.000 0.000

Properties
* energy of formation: 0.621 eV per atom
* crystal system: cubic
* energy: -0.21908 Ha/atom
* symmetry: Pm-3m
* total moment: 0.0 μB/f.u.

***

The following is a DFT calculation (meta-GGA SCAN) of a PBEsol-optimized structure of KCaMg2.

Lattice parameters (Å, degrees): 3.798 3.798 9.678 90.00 90.00 90.00
Element x y z (fractional)
K 0.500 0.500 0.500
Mg 0.000 0.000 0.785
Mg 0.000 0.000 0.215
Ca 0.500 0.500 0.000

Properties
* energy of formation: 0.119 eV per atom
* crystal system: tetragonal
* energy: -0.25232 Ha/atom
* symmetry: P4/mmm
* total moment: 0.1 μB/f.u.

***

The following is a DFT calculation (meta-GGA SCAN) of a PBEsol-optimized structure of KCa2Mg2V3O12.

Lattice parameters (Å, degrees): 10.854 10.854 10.854 108.01 110.21 110.21
Element x y z (fractional)
V 0.000 0.500 0.500
O 0.653 0.765 0.227
O 0.248 0.761 0.927
V 0.622 0.625 0.747
O 0.438 0.481 0.609
O 0.562 0.172 0.043
O 0.834 0.261 0.013
V 0.878 0.125 0.503
O 0.461 0.887 0.235
O 0.938 0.578 0.207
O 0.461 0.074 0.727
K 0.500 0.500 0.000
O 0.153 0.176 0.137
O 0.372 0.793 0.731
O 0.653 0.387 0.926
O 0.334 0.571 0.823
K 0.000 0.250 0.250
Ca 0.871 0.625 0.996
O 0.961 0.977 0.824
V 0.500 0.750 0.250
O 0.039 0.676 0.523
K 0.500 0.000 0.500
O 0.872 0.391 0.828
O 0.748 0.071 0.737
O 0.347 0.574 0.113
O 0.539 0.265 0.613
Mg 0.750 0.875 0.125
Ca 0.129 0.504 0.875
V 0.378 0.125 0.003
O 0.334 0.263 0.011
O 0.628 0.769 0.707
Ca 0.371 0.625 0.496
Ca 0.629 0.125 0.254
V 0.878 0.253 0.875
O 0.666 0.677 0.929
V 0.122 0.997 0.375
V 0.122 0.625 0.247
O 0.961 0.485 0.637
Mg 0.250 0.875 0.125
O 0.062 0.293 0.922
O 0.252 0.989 0.323
O 0.252 0.763 0.429
O 0.039 0.863 0.015
O 0.372 0.078 0.141
O 0.166 0.487 0.239
V 0.000 0.000 0.000
Mg 0.750 0.375 0.625
O 0.128 0.672 0.109
Mg 0.250 0.375 0.625
O 0.438 0.457 0.328
Mg 0.750 0.875 0.625
O 0.752 0.573 0.739
K 0.000 0.750 0.750
Ca 0.629 0.004 0.875
Mg 0.250 0.875 0.625
O 0.248 0.987 0.821
O 0.748 0.177 0.511
Ca 0.871 0.746 0.375
O 0.938 0.859 0.231
O 0.752 0.679 0.513
V 0.378 0.753 0.875
O 0.847 0.985 0.023
Mg 0.250 0.375 0.125
V 0.500 0.250 0.750
Ca 0.371 0.246 0.375
O 0.166 0.179 0.427
O 0.062 0.269 0.641
O 0.666 0.489 0.237
O 0.834 0.073 0.321
O 0.153 0.477 0.515
O 0.628 0.359 0.422
O 0.128 0.957 0.519
O 0.347 0.273 0.735
Ca 0.129 0.125 0.754
Mg 0.750 0.375 0.125
O 0.872 0.981 0.543
O 0.539 0.773 0.426
O 0.847 0.363 0.324
O 0.562 0.891 0.019
V 0.622 0.497 0.375

Properties
* energy relative to the elements, uncorrected: -2.95 eV per atom
* crystal system: tetragonal
* energy: -0.41141 Ha/atom
* symmetry: I4_1/acd
* total moment: 0.0 μB/f.u.

***

The following is a DFT calculation (meta-GGA SCAN) of a PBEsol-optimized structure of KCa4Mn.

Lattice parameters (Å, degrees): 7.043 7.043 7.043 60.00 60.00 60.00
Each line ends with the local moment (μB).
Element x y z (fractional)
Ca 0.878 0.374 0.374  0.01
K 0.750 0.750 0.750  0.00
Mn 0.000 0.000 0.000  4.67
Ca 0.374 0.878 0.374  0.01
Ca 0.374 0.374 0.878  0.01
Ca 0.374 0.374 0.374  0.01

Properties
* energy of formation: 0.471 eV per atom
* crystal system: cubic
* energy: -0.38228 Ha/atom
* symmetry: F-43m
* total moment: 5.3 μB/f.u.

***

The following is a DFT calculation (meta-GGA SCAN) of a PBEsol-optimized structure of KCaMn.

Lattice parameters (Å, degrees): 3.700 3.700 8.098 103.21 103.21 90.00
Each line ends with the local moment (μB).
Element x y z (fractional)
Mn 0.351 0.351 0.701  4.24
Ca 0.961 0.961 0.921  -0.10
K 0.689 0.689 0.378  0.00

Properties
* energy of formation: 0.397 eV per atom
* crystal system: tetragonal
* energy: -0.42943 Ha/atom
* symmetry: I4mm
* total moment: 4.1 μB/f.u.

***

The following is a DFT calculation (meta-GGA SCAN) of a PBEsol-optimized structure of KCaMn.

Lattice parameters (Å, degrees): 5.533 5.533 5.533 60.00 60.00 60.00
Each line ends with the local moment (μB).
Element x y z (fractional)
Mn 0.250 0.250 0.250  4.49
K 0.500 0.500 0.500  0.00
Ca 0.000 0.000 0.000  -0.02

Properties
* energy of formation: 0.658 eV per atom
* crystal system: cubic
* energy: -0.41985 Ha/atom
* symmetry: F-43m
* total moment: 4.7 μB/f.u.

***

The following is a DFT calculation (meta-GGA SCAN) of a PBEsol-optimized structure of KCaMnTc2.

Lattice parameters (Å, degrees): 4.439 4.439 5.419 90.00 90.00 90.00
Each line ends with the local moment (μB).
Element x y z (fractional)
K 0.000 0.000 0.500  0.02
Tc 0.000 0.500 0.000  0.53
Mn 0.000 0.000 0.000  1.53
Tc 0.500 0.000 0.000  0.53
Ca 0.500 0.500 0.500  0.00

Properties
* energy of formation: 1.141 eV per atom
* crystal system: tetragonal
* energy: -0.73986 Ha/atom
* symmetry: P4/mmm
* total moment: 2.8 μB/f.u.

***

The following is a DFT calculation (meta-GGA SCAN) of a PBEsol-optimized structure of KCa2Mo.

Lattice parameters (Å, degrees): 3.724 4.401 9.017 90.00 90.01 90.00
Each line ends with the local moment (μB).
Element x y z (fractional)
Ca 0.000 0.000 0.938  0.03
Ca 0.500 0.500 0.180  0.00
K 0.001 0.000 0.545  0.00
Mo 0.499 0.500 0.837  3.14

Properties
* energy of formation: 0.897 eV per atom
* crystal system: orthorhombic
* energy: -0.54161 Ha/atom
* symmetry: Pmm2
* total moment: 3.6 μB/f.u.

***

The following is a DFT calculation (meta-GGA SCAN) of a PBEsol-optimized structure of KCaMo2.

Lattice parameters (Å, degrees): 3.457 4.126 5.572 90.00 90.00 90.00
Element x y z (fractional)
Mo 0.500 0.500 0.000
K 0.000 0.500 0.500
Ca 0.500 0.000 0.500
Mo 0.000 0.000 0.000

Properties
* energy of formation: 1.334 eV per atom
* crystal system: orthorhombic
* energy: -0.75729 Ha/atom
* symmetry: Pmmm
* total moment: 0.0 μB/f.u.